VASP calculation (meta-GGA SCAN) on a PBEsol-optimized structure of Zn2CdSb.

Computed properties:
Formation energy without anion corrections in eV/atom: 0.21
Offset from the most stable computed form in eV/atom: 0.078
SG: Pmmm, No. 47

Lattice parameters (Å, degrees): 4.026 4.072 4.817 90.00 90.00 90.00
Atoms (fractional coordinates):
Zn  0.000  0.000  0.000
Zn  0.000  0.500  0.500
Cd  0.500  0.000  0.500
Sb  0.500  0.500  0.000

=====

VASP calculation (meta-GGA SCAN) on a PBEsol-optimized structure of Co2ReMo.

Computed properties:
Offset from the most stable computed form in eV/atom: 0.064
SG: I4/mmm, No. 139
Formation enthalpy at 0 K in eV per atom: 0.15

Lattice parameters (Å, degrees): 3.672 3.672 7.328 90.00 90.00 90.00
Atoms (fractional coordinates):
Co  0.000  0.500  0.250
Co  0.000  0.500  0.750
Co  0.500  0.000  0.250
Co  0.500  0.000  0.750
Re  0.000  0.000  0.000
Re  0.500  0.500  0.500
Mo  0.000  0.000  0.500
Mo  0.500  0.500  0.000